The following is a DFT calculation (PBE) of a relaxed structure of CePr3Ho2P6.

Properties
The value obtained for the calculated formation energy is -1546.0 meV per atom. Its symmetry is C2/m (12).

abc: 7.111 7.111 7.128
angles: 99.57 99.57 119.99
Fractional positions:
Ce 0.000 0.000 0.000
Pr 0.167 0.833 0.500
Pr 0.833 0.167 0.500
Pr 0.500 0.500 0.500
Ho 0.333 0.667 0.000
Ho 0.667 0.333 0.000
P 0.921 0.588 0.763
P 0.746 0.746 0.236
P 0.079 0.412 0.237
P 0.588 0.921 0.763
P 0.254 0.254 0.764
P 0.412 0.079 0.237

The following is a DFT calculation (PBE) of a relaxed structure of Ho2ErPuAs4.

Properties
The value obtained for the calculated formation energy is -1388.7 meV per atom. Its symmetry is P2/m (10).

abc: 4.111 7.099 7.097
angles: 70.54 90.00 90.00
Fractional positions:
Ho 0.000 0.000 0.000
Ho 0.500 0.000 0.500
Er 0.500 0.500 0.000
Pu 0.000 0.500 0.500
As 0.000 0.749 0.751
As 0.000 0.251 0.249
As 0.500 0.749 0.250
As 0.500 0.251 0.750

The following is a DFT calculation (PBE) of a relaxed structure of Na2AlGa2.

Properties
The value obtained for the calculated formation energy is -48.4 meV per atom. Its symmetry is C2/m (12). The value obtained for the energy above the most stable polymorph in this dataset is 0.000 eV/atom.

abc: 4.298 6.308 9.391
angles: 84.01 76.77 70.08
Fractional positions:
Na 0.304 0.290 0.103
Na 0.477 0.359 0.688
Na 0.696 0.710 0.897
Na 0.523 0.641 0.312
Al 0.772 0.069 0.386
Al 0.228 0.931 0.614
Ga 0.009 0.107 0.875
Ga 0.125 0.305 0.444
Ga 0.991 0.893 0.125
Ga 0.875 0.695 0.556

The following is a DFT calculation (PBE) of a relaxed structure of Li2Zn8Ni3.

Properties
The value obtained for the calculated formation energy is -79.5 meV per atom. Its symmetry is Cmmm (65).

abc: 7.500 7.500 4.223
angles: 90.00 90.00 128.13
Fractional positions:
Li 0.220 0.780 0.500
Li 0.780 0.220 0.500
Zn 0.672 0.328 0.000
Zn 0.328 0.672 0.000
Zn 0.114 0.886 0.000
Zn 0.886 0.114 0.000
Zn 0.593 0.792 0.500
Zn 0.208 0.407 0.500
Zn 0.792 0.593 0.500
Zn 0.407 0.208 0.500
Ni 0.000 0.000 0.500
Ni 0.302 0.302 0.000
Ni 0.698 0.698 0.000

The following is a DFT calculation (PBE) of a relaxed structure of RbTl2ZnIr.

Properties
The value obtained for the calculated formation energy is -30.6 meV per atom. Its symmetry is P4/mmm (123).

abc: 5.327 5.327 5.098
angles: 90.00 90.00 90.00
Fractional positions:
Tl 0.000 0.500 0.000
Tl 0.500 0.000 0.000
Ir 0.000 0.000 0.000
Zn 0.000 0.000 0.500
Rb 0.500 0.500 0.500

The following is a DFT calculation (PBE) of a relaxed structure of LaCeRuAu.

Properties
The value obtained for the calculated formation energy is -400.5 meV per atom. Its symmetry is F-43m (216).

abc: 5.122 5.122 5.122
angles: 60.00 60.00 60.00
Fractional positions:
Ru 0.750 0.750 0.750
Au 0.250 0.250 0.250
Ce 0.000 0.000 0.000
La 0.500 0.500 0.500

The following is a DFT calculation (PBE) of a relaxed structure of SmY2Th2.

Properties
The value obtained for the calculated formation energy is 34.5 meV per atom. Its symmetry is P-3m1 (164). The value obtained for the energy above the most stable polymorph in this dataset is 0.019 eV/atom.

abc: 3.581 3.581 14.694
angles: 90.00 90.00 120.00
Fractional positions:
Sm 0.000 0.000 0.500
Y 0.667 0.333 0.700
Y 0.333 0.667 0.300
Th 0.333 0.667 0.902
Th 0.667 0.333 0.098

The following is a DFT calculation (PBE) of a relaxed structure of ZrScHg2.

Properties
The value obtained for the calculated formation energy is -256.1 meV per atom. Its symmetry is Fm-3m (225). The value obtained for the energy above the most stable polymorph in this dataset is 0.026 eV/atom.

abc: 4.984 4.984 4.984
angles: 60.00 60.00 60.00
Fractional positions:
Sc 0.000 0.000 0.000
Hg 0.250 0.250 0.250
Hg 0.750 0.750 0.750
Zr 0.500 0.500 0.500

The following is a DFT calculation (PBE) of a relaxed structure of Na8Tl6Ag.

Properties
The value obtained for the calculated formation energy is -57.0 meV per atom. Its symmetry is R-3 (148).

abc: 8.999 8.999 8.459
angles: 57.86 57.86 60.00
Fractional positions:
Na 0.526 0.229 0.356
Na 0.771 0.111 0.644
Na 0.111 0.474 0.644
Na 0.663 0.663 0.010
Na 0.337 0.337 0.990
Na 0.889 0.526 0.356
Na 0.229 0.889 0.356
Na 0.474 0.771 0.644
Tl 0.359 0.048 0.858
Tl 0.952 0.266 0.142
Tl 0.266 0.641 0.142
Tl 0.734 0.359 0.858
Tl 0.048 0.734 0.858
Tl 0.641 0.952 0.142
Ag 0.000 0.000 0.000

The following is a DFT calculation (PBE) of a relaxed structure of MnSi2Cl.

Properties
For the uncorrected formation energy, the calculation gives 207.0 kJ/mol of formula units. Its symmetry is F-43m (216). The value obtained for the energy above the most stable polymorph in this dataset is 0.559 eV/atom.

abc: 4.574 4.574 4.574
angles: 60.00 60.00 60.00
Fractional positions:
Cl 0.500 0.500 0.500
Mn 0.250 0.250 0.250
Si 0.000 0.000 0.000
Si 0.750 0.750 0.750

The following is a DFT calculation (PBE) of a relaxed structure of MgSbIO2.

Properties
For the uncorrected formation energy, the calculation gives -257.0 kJ/mol of formula units. Its symmetry is P4/mmm (123). The value obtained for the energy above the most stable polymorph in this dataset is 0.000 eV/atom.

abc: 4.162 4.162 6.568
angles: 90.00 90.00 90.00
Fractional positions:
I 0.000 0.000 0.500
Sb 0.000 0.000 0.000
Mg 0.500 0.500 0.500
O 0.000 0.500 0.000
O 0.500 0.000 0.000

The following is a DFT calculation (PBE) of a relaxed structure of FeSn2PtCl.

Properties
For the uncorrected formation energy, the calculation gives 290.5 kJ/mol of formula units. Its symmetry is P4/mmm (123).

abc: 5.180 5.180 4.926
angles: 90.00 90.00 90.00
Fractional positions:
Cl 0.000 0.000 0.500
Sn 0.000 0.500 0.000
Sn 0.500 0.000 0.000
Pt 0.000 0.000 0.000
Fe 0.500 0.500 0.500